Material: NaLaEuGa
Method: DFT, GGA-PBE
State: relaxed

Properties
Energy of formation ... -142.1 meV per atom
Total energy ... -0.370 Ry per atom
Calculated volume ... 119 Å³ per cell
Space-group type ... No. 216

abc: 5.521 5.521 5.521
angles: 60.00 60.00 60.00
Sites, in units of the cell vectors:
Na  0.000  0.000  0.000
La  0.750  0.750  0.750
Eu  0.250  0.250  0.250
Ga  0.500  0.500  0.500